[1]
Ca3ScTc: optimized geometry, PBE.

Structure (POSCAR):
```
Ca3ScTc
1.0
5.434 0.000 0.000
0.000 5.434 0.000
0.000 0.000 5.434
Ca Sc Tc
3 1 1
direct
0.000 0.000 0.500
0.000 0.500 0.000
0.500 0.000 0.000
0.500 0.500 0.500
0.000 0.000 0.000
```

Values from the calculation:
energy: -3.829 eV per atom
space group: Pm-3m, No. 221

***

[2]
CaScTc2: optimized geometry, PBE.

Structure (POSCAR):
```
CaScTc2
1.0
0.000 3.341 3.341
3.341 0.000 3.341
3.341 3.341 0.000
Ca Sc Tc
1 1 2
direct
0.000 0.000 0.000
0.500 0.500 0.500
0.250 0.250 0.250
0.750 0.750 0.750
```

Values from the calculation:
offset from the most stable computed form: 480 meV/atom
space group: Fm-3m, No. 225

***

[3]
CaScTc2: optimized geometry, PBE.

Structure (POSCAR):
```
CaScTc2
1.0
3.376 0.000 0.000
0.000 4.596 0.000
0.000 0.000 4.699
Ca Sc Tc
1 1 2
direct
0.000 0.000 0.000
0.500 0.000 0.500
0.000 0.500 0.500
0.500 0.500 0.000
```

Values from the calculation:
offset from the most stable computed form: 405 meV/atom
space group: Pmmm, No. 47

***

[4]
CaSc2Tc: optimized geometry, PBE.

Structure (POSCAR):
```
CaSc2Tc
1.0
1.762 -2.596 0.000
1.762 2.596 0.000
0.000 0.000 10.050
Ca Sc Tc
1 2 1
direct
0.000 0.000 0.000
0.000 0.000 0.582
0.500 0.500 0.309
0.500 0.500 0.771
```

Values from the calculation:
offset from the most stable computed form: 365 meV/atom
space group: Cmm2, No. 35

***

[5]
CaScTc2: optimized geometry, PBE.

Structure (POSCAR):
```
CaScTc2
1.0
-3.788 3.788 2.748
3.788 -3.788 2.748
3.788 3.788 -2.748
Ca Sc Tc
2 2 4
direct
0.000 0.000 0.000
0.750 0.250 0.500
0.250 0.750 0.500
0.500 0.500 0.000
0.145 0.125 0.520
0.375 0.855 0.980
0.605 0.625 0.480
0.875 0.395 0.020
```

Values from the calculation:
offset from the most stable computed form: 786 meV/atom
space group: I-42d, No. 122

***

[6]
CaSc2Tc: optimized geometry, PBE.

Structure (POSCAR):
```
CaSc2Tc
1.0
3.442 0.000 0.000
0.000 4.694 0.000
-1.719 0.000 6.120
Ca Sc Tc
1 2 1
direct
0.000 0.000 0.000
0.282 0.000 0.560
0.690 0.500 0.379
0.358 0.500 0.722
```

Values from the calculation:
offset from the most stable computed form: 270 meV/atom
space group: Pm, No. 6

***

[7]
CaScTc2: optimized geometry, PBE.

Structure (POSCAR):
```
CaScTc2
1.0
3.235 0.000 0.000
0.000 4.168 0.000
-1.539 0.000 6.367
Ca Sc Tc
1 1 2
direct
0.000 0.000 0.000
0.730 0.500 0.365
0.296 0.500 0.721
0.429 0.000 0.567
```

Values from the calculation:
offset from the most stable computed form: 138 meV/atom
space group: Pm, No. 6

***

[8]
CaSc2Tc: optimized geometry, PBE.

Structure (POSCAR):
```
CaSc2Tc
1.0
-1.709 2.438 5.642
1.709 -2.438 5.642
1.709 2.438 -5.642
Ca Sc Tc
1 2 1
direct
0.000 0.000 0.000
0.292 0.792 0.500
0.610 0.610 0.000
0.781 0.281 0.500
```

Values from the calculation:
offset from the most stable computed form: 256 meV/atom
space group: Imm2, No. 44

***

[9]
CaSc2Te: optimized geometry, PBE.

Structure (POSCAR):
```
CaSc2Te
1.0
3.960 0.000 0.000
0.000 4.570 0.000
-1.972 0.000 6.062
Ca Sc Te
1 2 1
direct
0.000 0.000 0.000
0.267 0.000 0.531
0.699 0.500 0.395
0.411 0.500 0.821
```

Values from the calculation:
uncorrected formation energy: -1.8 eV per formula unit
space group: Pm, No. 6

***

[10]
CaSc2Te: optimized geometry, PBE.

Structure (POSCAR):
```
CaSc2Te
1.0
6.174 -1.855 0.000
6.174 1.855 0.000
-2.210 0.000 4.743
Ca Sc Te
1 2 1
direct
0.000 0.000 0.000
0.215 0.215 0.715
0.785 0.785 0.285
0.500 0.500 0.500
```

Values from the calculation:
uncorrected formation energy: -1.8 eV per formula unit
space group: C2/m, No. 12

***

[11]
Ca2ScTe2: optimized geometry, PBE.

Structure (POSCAR):
```
Ca2ScTe2
1.0
8.147 0.000 0.000
0.000 8.147 0.000
0.000 0.000 4.322
Ca Sc Te
4 2 4
direct
0.153 0.347 0.000
0.347 0.847 0.000
0.653 0.153 0.000
0.847 0.653 0.000
0.000 0.000 0.500
0.500 0.500 0.500
0.158 0.658 0.500
0.342 0.158 0.500
0.658 0.842 0.500
0.842 0.342 0.500
```

Values from the calculation:
uncorrected formation energy: -5.2 eV per formula unit
space group: P4/mbm, No. 127

***

[12]
Ca2ScTe: optimized geometry, PBE.

Structure (POSCAR):
```
Ca2ScTe
1.0
2.009 1.160 9.958
-2.009 1.160 9.958
0.000 -2.320 9.958
Ca Sc Te
2 1 1
direct
0.235 0.235 0.235
0.765 0.765 0.765
0.000 0.000 0.000
0.500 0.500 0.500
```

Values from the calculation:
uncorrected formation energy: -1.7 eV per formula unit
space group: R-3m, No. 166

***

[13]
CaSc4Te: optimized geometry, PBE.

Structure (POSCAR):
```
CaSc4Te
1.0
0.000 4.369 4.369
4.369 0.000 4.369
4.369 4.369 0.000
Ca Sc Te
1 4 1
direct
0.000 0.000 0.000
0.120 0.627 0.627
0.627 0.120 0.627
0.627 0.627 0.120
0.627 0.627 0.627
0.250 0.250 0.250
```

Values from the calculation:
uncorrected formation energy: 0.6 eV per formula unit
space group: F-43m, No. 216

***

[14]
CaScTe3: optimized geometry, PBE.

Structure (POSCAR):
```
CaScTe3
1.0
5.572 0.000 0.000
0.000 5.572 0.000
0.000 0.000 5.572
Ca Sc Te
1 1 3
direct
0.000 0.000 0.000
0.500 0.500 0.500
0.000 0.500 0.500
0.500 0.000 0.500
0.500 0.500 0.000
```

Values from the calculation:
uncorrected formation energy: -4.2 eV per formula unit
offset from the most stable computed form: 0 meV/atom
space group: Pm-3m, No. 221

***

[15]
Ca2ScTe: optimized geometry, PBE.

Structure (POSCAR):
```
Ca2ScTe
1.0
4.480 0.000 0.000
0.000 2.235 6.341
0.000 -2.235 6.341
Ca Sc Te
2 1 1
direct
0.000 0.000 0.000
0.500 0.310 0.310
0.500 0.586 0.586
0.000 0.729 0.729
```

Values from the calculation:
uncorrected formation energy: -2.1 eV per formula unit
space group: Amm2, No. 38

***

[16]
Ca2ScTe: optimized geometry, PBE.

Structure (POSCAR):
```
Ca2ScTe
1.0
0.000 3.889 3.889
3.889 0.000 3.889
3.889 3.889 0.000
Ca Sc Te
2 1 1
direct
0.000 0.000 0.000
0.250 0.250 0.250
0.500 0.500 0.500
0.750 0.750 0.750
```

Values from the calculation:
uncorrected formation energy: -0.6 eV per formula unit
space group: F-43m, No. 216

***

[17]
CaSc2Te: optimized geometry, PBE.

Structure (POSCAR):
```
CaSc2Te
1.0
0.000 3.746 3.746
3.746 0.000 3.746
3.746 3.746 0.000
Ca Sc Te
1 2 1
direct
0.000 0.000 0.000
0.500 0.500 0.500
0.750 0.750 0.750
0.250 0.250 0.250
```

Values from the calculation:
uncorrected formation energy: -0.4 eV per formula unit
space group: F-43m, No. 216

***

[18]
CaSc2Te: optimized geometry, PBE.

Structure (POSCAR):
```
CaSc2Te
1.0
-4.384 4.384 3.150
4.384 -4.384 3.150
4.384 4.384 -3.150
Ca Sc Te
2 4 2
direct
0.000 0.000 0.000
0.750 0.250 0.500
0.182 0.625 0.057
0.375 0.432 0.557
0.568 0.125 0.943
0.875 0.818 0.443
0.250 0.750 0.500
0.500 0.500 0.000
```

Values from the calculation:
uncorrected formation energy: -0.8 eV per formula unit
space group: I-42d, No. 122

***

[19]
Ca4ScTe5: optimized geometry, PBE.

Structure (POSCAR):
```
Ca4ScTe5
1.0
-2.220 2.220 15.723
2.220 -2.220 15.723
2.220 2.220 -15.723
Ca Sc Te
4 1 5
direct
0.098 0.098 0.000
0.302 0.302 0.000
0.698 0.698 0.000
0.902 0.902 0.000
0.500 0.500 0.000
0.000 0.000 0.000
0.199 0.199 0.000
0.405 0.405 0.000
0.595 0.595 0.000
0.801 0.801 0.000
```

Values from the calculation:
uncorrected formation energy: -15.1 eV per formula unit
space group: I4/mmm, No. 139

***

[20]
CaSc2Te: optimized geometry, PBE.

Structure (POSCAR):
```
CaSc2Te
1.0
3.817 0.000 0.000
0.000 3.817 0.000
0.000 0.000 7.375
Ca Sc Te
1 2 1
direct
0.000 0.000 0.000
0.500 0.500 0.291
0.500 0.500 0.709
0.000 0.000 0.500
```

Values from the calculation:
uncorrected formation energy: -1.4 eV per formula unit
space group: P4/mmm, No. 123

***

[21]
Ca2ScTe: optimized geometry, PBE.

Structure (POSCAR):
```
Ca2ScTe
1.0
5.331 0.000 0.000
0.000 5.331 0.000
0.000 0.000 4.212
Ca Sc Te
2 1 1
direct
0.000 0.500 0.000
0.500 0.000 0.000
0.000 0.000 0.500
0.500 0.500 0.500
```

Values from the calculation:
uncorrected formation energy: -1.4 eV per formula unit
space group: P4/mmm, No. 123

***

[22]
Ca2ScTe: optimized geometry, PBE.

Structure (POSCAR):
```
Ca2ScTe
1.0
4.043 0.000 0.000
0.000 4.043 0.000
0.000 0.000 7.363
Ca Sc Te
2 1 1
direct
0.000 0.000 0.235
0.000 0.000 0.765
0.500 0.500 0.500
0.500 0.500 0.000
```

Values from the calculation:
uncorrected formation energy: -2.0 eV per formula unit
space group: P4/mmm, No. 123

***

[23]
CaSc3Te: optimized geometry, PBE.

Structure (POSCAR):
```
CaSc3Te
1.0
5.260 0.000 0.000
0.000 5.260 0.000
0.000 0.000 5.260
Ca Sc Te
1 3 1
direct
0.000 0.000 0.000
0.000 0.000 0.500
0.000 0.500 0.000
0.500 0.000 0.000
0.500 0.500 0.500
```

Values from the calculation:
uncorrected formation energy: 4.7 eV per formula unit
offset from the most stable computed form: 973 meV/atom
space group: Pm-3m, No. 221

***

[24]
Ca2ScTe: optimized geometry, PBE.

Structure (POSCAR):
```
Ca2ScTe
1.0
-2.315 2.315 5.585
2.315 -2.315 5.585
2.315 2.315 -5.585
Ca Sc Te
2 1 1
direct
0.000 0.000 0.000
0.750 0.250 0.500
0.500 0.500 0.000
0.250 0.750 0.500
```

Values from the calculation:
uncorrected formation energy: -1.6 eV per formula unit
space group: I-4m2, No. 119

***

[25]
CaSc3Te: optimized geometry, PBE.

Structure (POSCAR):
```
CaSc3Te
1.0
5.433 0.000 0.000
0.000 5.433 0.000
0.000 0.000 5.433
Ca Sc Te
1 3 1
direct
0.000 0.000 0.000
0.000 0.500 0.500
0.500 0.000 0.500
0.500 0.500 0.000
0.500 0.500 0.500
```

Values from the calculation:
uncorrected formation energy: -0.1 eV per formula unit
offset from the most stable computed form: 0 meV/atom
space group: Pm-3m, No. 221

***

[26]
CaSc2Te: optimized geometry, PBE.

Structure (POSCAR):
```
CaSc2Te
1.0
1.911 1.103 9.531
-1.911 1.103 9.531
0.000 -2.206 9.531
Ca Sc Te
1 2 1
direct
0.000 0.000 0.000
0.232 0.232 0.232
0.768 0.768 0.768
0.500 0.500 0.500
```

Values from the calculation:
uncorrected formation energy: -1.4 eV per formula unit
space group: R-3m, No. 166

***

[27]
CaSc2Te: optimized geometry, PBE.

Structure (POSCAR):
```
CaSc2Te
1.0
-2.232 2.232 5.159
2.232 -2.232 5.159
2.232 2.232 -5.159
Ca Sc Te
1 2 1
direct
0.000 0.000 0.000
0.250 0.750 0.500
0.500 0.500 0.000
0.750 0.250 0.500
```

Values from the calculation:
uncorrected formation energy: -1.3 eV per formula unit
space group: I-4m2, No. 119

***

[28]
CaSc2Te: optimized geometry, PBE.

Structure (POSCAR):
```
CaSc2Te
1.0
3.779 0.000 0.000
0.000 3.779 0.000
0.000 0.000 7.598
Ca Sc Te
1 2 1
direct
0.000 0.000 0.000
0.000 0.000 0.530
0.500 0.500 0.311
0.500 0.500 0.720
```

Values from the calculation:
uncorrected formation energy: -2.2 eV per formula unit
space group: P4mm, No. 99

***

[29]
Ca2ScTe: optimized geometry, PBE.

Structure (POSCAR):
```
Ca2ScTe
1.0
3.317 -4.708 0.000
3.317 4.708 0.000
0.000 0.000 3.900
Ca Sc Te
2 1 1
direct
0.000 0.500 0.000
0.500 0.000 0.000
0.000 0.000 0.500
0.500 0.500 0.500
```

Values from the calculation:
uncorrected formation energy: -1.5 eV per formula unit
space group: Cmmm, No. 65